(1)
{"formula": "CaAc3As4", "functional": "PBE", "state": "relaxed", "spacegroup": "Pm-3m", "lattice_angstrom": [[6.3579, 0.0000, 0.0000], [0.0000, 6.3579, 0.0000], [0.0000, 0.0000, 6.3579]], "species": ["As", "As", "As", "As", "Ca", "Ac", "Ac", "Ac"], "frac_coords": [[0.5000, 0.0000, 0.0000], [0.0000, 0.5000, 0.0000], [0.0000, 0.0000, 0.5000], [0.5000, 0.5000, 0.5000], [0.0000, 0.0000, 0.0000], [0.0000, 0.5000, 0.5000], [0.5000, 0.0000, 0.5000], [0.5000, 0.5000, 0.0000]]}



(2)
{"formula": "CaAcAs4", "functional": "PBE", "state": "relaxed", "spacegroup": "F-43m", "lattice_angstrom": [[5.8706, 0.0000, 0.0000], [2.9353, 5.0840, 0.0000], [2.9353, 1.6947, 4.7933]], "species": ["Ac", "Ca", "As", "As", "As", "As"], "frac_coords": [[0.2500, 0.2500, 0.2500], [0.0000, 0.0000, 0.0000], [0.6269, 0.6269, 0.1193], [0.6269, 0.1193, 0.6269], [0.6269, 0.6269, 0.6269], [0.1193, 0.6269, 0.6269]]}



Number 1: volume 32.13 A^3/atom, calculated formation energy -1.3086 eV per atom, DFT total energy -5.42 eV per atom. Number 2: volume 23.84 A^3/atom, calculated formation energy -0.4978 eV per atom, DFT total energy -4.62 eV per atom.